Density functional theory data (PBE-GGA) for an optimized crystal structure of TiNi6W.

a b c (Å): 5.0768 5.0768 4.2576
angles (deg): 90.00 90.00 120.00
Space group P-6m2 (No. 187)
Symmetry-distinct sites (fractional):
Ti: 0.0000 0.0000 0.0000 (multiplicity 1)
Ni: 0.0014 0.5007 0.0000 (multiplicity 3)
Ni: 0.1696 0.3392 0.5000 (multiplicity 3)
W: 0.6667 0.3333 0.5000 (multiplicity 1)

## Properties
formation energy = -0.276 eV per atom
calculated total energy = -7.2183 eV per atom